FeHN2O: optimized geometry, GGA+U.

Results
- Fermi-level density of states: 0.492 states/eV per atom
- SG: No. 123
- VASP energy: -4.625 eV/atom

Lattice parameters (Å, degrees): 4.0746 4.0746 2.3775 90.00 90.00 90.00
Closest atoms and distances in Å follow each position.
Atoms (fractional coordinates):
H (0.0000, 0.0000, 0.0000)  2 O 1.19
Fe (0.5000, 0.5000, 0.5000)  8 N 2.36, 2 Fe 2.38
O (0.0000, 0.0000, 0.5000)  2 H 1.19
N (0.0000, 0.5000, 0.0000)  2 H 2.04
N (0.5000, 0.0000, 0.0000)  2 H 2.04

FeHNO2: optimized geometry, GGA+U.

Results
- Fermi-level density of states: 1.351 states/eV per atom
- SG: No. 123
- VASP energy: -4.046 eV/atom

Lattice parameters (Å, degrees): 3.7253 3.7253 3.4504 90.00 90.00 90.00
Closest atoms and distances in Å follow each position.
Atoms (fractional coordinates):
H (0.5000, 0.5000, 0.5000)  8 O 2.54, 4 N 2.63
Fe (0.0000, 0.0000, 0.0000)  2 N 1.73, 4 O 1.86
O (0.0000, 0.5000, 0.0000)  2 Fe 1.86
O (0.5000, 0.0000, 0.0000)  2 Fe 1.86
N (0.0000, 0.0000, 0.5000)  2 Fe 1.73

FeHN2O: optimized geometry, GGA+U.

Results
- Fermi-level density of states: 0.439 states/eV per atom
- SG: No. 123
- VASP energy: -4.431 eV/atom

Lattice parameters (Å, degrees): 3.8874 3.8874 3.6407 90.00 90.00 90.00
Closest atoms and distances in Å follow each position.
Atoms (fractional coordinates):
H (0.5000, 0.5000, 0.5000)  8 N 2.66, 4 O 2.75
Fe (0.0000, 0.0000, 0.0000)  2 O 1.82, 4 N 1.94
O (0.0000, 0.0000, 0.5000)  2 Fe 1.82
N (0.0000, 0.5000, 0.0000)  2 Fe 1.94
N (0.5000, 0.0000, 0.0000)  2 Fe 1.94

FeHNO2: optimized geometry, GGA+U.

Results
- Fermi-level density of states: 1.005 states/eV per atom
- SG: No. 123
- VASP energy: -3.968 eV/atom

Lattice parameters (Å, degrees): 3.7542 3.7542 2.5492 90.00 90.00 90.00
Closest atoms and distances in Å follow each position.
Atoms (fractional coordinates):
H (0.0000, 0.0000, 0.0000)  2 N 1.27
Fe (0.5000, 0.5000, 0.5000)  8 O 2.27
O (0.0000, 0.5000, 0.0000)  2 H 1.88
O (0.5000, 0.0000, 0.0000)  2 H 1.88
N (0.0000, 0.0000, 0.5000)  2 H 1.27